[1]
Below is an optimized crystal structure of KCdHg2Sb, with properties calculated at the PBE level.

formation energy (no corrections) = -0.02 eV per atom
crystal system = tetragonal

Unit cell a=5.7062 b=5.7062 c=5.6674 alpha=90.00 beta=90.00 gamma=90.00
Space group P4/mmm (No. 123)
Inequivalent atoms, fractional coordinates:
1 K 0.0000 0.0000 0.0000
2 Cd 0.5000 0.5000 0.5000
3 Hg 0.0000 0.5000 0.5000
4 Sb 0.5000 0.5000 0.0000

***

[2]
Below is an optimized crystal structure of YCd2Os, with properties calculated at the PBE level.

formation energy from the elements = 0.10 eV per atom
crystal system = tetragonal

Unit cell a=3.4291 b=3.4291 c=7.3489 alpha=90.00 beta=90.00 gamma=90.00
Space group P4mm (No. 99)
Inequivalent atoms, fractional coordinates:
1 Y 0.0000 0.0000 0.0000
2 Cd 0.0000 0.0000 0.5733
3 Cd 0.5000 0.5000 0.3279
4 Os 0.5000 0.5000 0.7846